{
  "formula": "CrCu2Tc2",
  "functional": "PBE-GGA",
  "state": "relaxed",
  "vol_a3_per_atom": 16.34,
  "ef_ev_per_atom": 1.76,
  "spacegroup": "P4/mmm (123)",
  "e_tot_ev_per_cell": -29.8,
  "magnetic_moment_mub_per_atom": 0.227,
  "density_g_cm3": 7.62,
  "dos_ef_per_ev_atom": 1.70,
  "cell": [[4.4461, 0.0000, 0.0000], [0.0000, 4.4461, 0.0000], [0.0000, 0.0000, 4.1334]],
  "species": ["Cr", "Tc", "Tc", "Cu", "Cu"],
  "frac_coords": [[0.5000, 0.5000, 0.5000], [0.0000, 0.5000, 0.0000], [0.5000, 0.0000, 0.0000], [0.0000, 0.0000, 0.0000], [0.0000, 0.0000, 0.5000]]
}

{
  "formula": "CrCu2Tc",
  "functional": "PBE-GGA",
  "state": "relaxed",
  "vol_a3_per_atom": 12.58,
  "ef_ev_per_atom": 0.24,
  "spacegroup": "Cmmm (65)",
  "e_tot_ev_per_cell": -27.2,
  "magnetic_moment_mub_per_atom": 0.000,
  "density_g_cm3": 9.14,
  "polymorph_energy_kj_per_mol_atoms": 4.9,
  "dos_ef_per_ev_atom": 0.36,
  "cell": [[5.5145, 0.0175, 0.0638], [-2.2051, 4.2511, -0.0410], [1.1042, 0.5900, 2.1540]],
  "species": ["Cr", "Cu", "Cu", "Tc"],
  "frac_coords": [[0.5000, 0.5000, 0.0000], [0.0000, 0.0000, 0.0000], [0.5000, 0.0000, 0.5000], [0.0000, 0.5000, 0.5000]]
}

{
  "formula": "CrCuTc4",
  "functional": "PBE-GGA",
  "state": "relaxed",
  "vol_a3_per_atom": 15.28,
  "ef_ev_per_atom": 0.50,
  "spacegroup": "F-43m (216)",
  "e_tot_ev_per_cell": -52.2,
  "magnetic_moment_mub_per_atom": 0.258,
  "density_g_cm3": 9.19,
  "dos_ef_per_ev_atom": 0.86,
  "cell": [[-1.4290, -2.8050, 3.9635], [1.6358, 1.1650, 4.6462], [-3.2187, 1.8977, 3.4144]],
  "species": ["Cr", "Cu", "Tc", "Tc", "Tc", "Tc"],
  "frac_coords": [[0.7500, 0.7500, 0.7500], [0.0000, 0.0000, 0.0000], [0.8772, 0.3743, 0.3743], [0.3743, 0.3743, 0.8772], [0.3743, 0.8772, 0.3743], [0.3743, 0.3743, 0.3743]]
}

{
  "formula": "CrCu2Tc",
  "functional": "PBE-GGA",
  "state": "relaxed",
  "vol_a3_per_atom": 12.91,
  "ef_ev_per_atom": 0.31,
  "spacegroup": "F-43m (216)",
  "e_tot_ev_per_cell": -26.9,
  "magnetic_moment_mub_per_atom": 0.243,
  "density_g_cm3": 8.91,
  "polymorph_energy_kj_per_mol_atoms": 11.2,
  "dos_ef_per_ev_atom": 0.87,
  "cell": [[4.1801, 0.0000, 0.0000], [2.0901, 3.6201, 0.0000], [2.0901, 1.2067, 3.4131]],
  "species": ["Cr", "Cu", "Cu", "Tc"],
  "frac_coords": [[0.5000, 0.5000, 0.5000], [0.0000, 0.0000, 0.0000], [0.2500, 0.2500, 0.2500], [0.7500, 0.7500, 0.7500]]
}

{
  "formula": "CrCu2Tc",
  "functional": "PBE-GGA",
  "state": "relaxed",
  "vol_a3_per_atom": 18.36,
  "ef_ev_per_atom": 1.98,
  "spacegroup": "I-42d (122)",
  "e_tot_ev_per_cell": -40.5,
  "magnetic_moment_mub_per_atom": 0.000,
  "density_g_cm3": 6.26,
  "polymorph_energy_kj_per_mol_atoms": 172.2,
  "dos_ef_per_ev_atom": 1.04,
  "cell": [[-4.6055, -2.0599, 1.5747], [2.5920, -3.7406, 2.6875], [-0.9400, 0.1987, 6.3799]],
  "species": ["Cr", "Cr", "Tc", "Tc", "Cu", "Cu", "Cu", "Cu"],
  "frac_coords": [[0.5000, 0.5000, 0.0000], [0.2500, 0.7500, 0.5000], [0.0000, 0.0000, 0.0000], [0.7500, 0.2500, 0.5000], [0.6123, 0.1250, 0.2500], [0.1377, 0.6250, 0.2500], [0.3750, 0.3877, 0.7500], [0.8750, 0.8623, 0.7500]]
}

{
  "formula": "CrCu2Tc",
  "functional": "PBE-GGA",
  "state": "relaxed",
  "vol_a3_per_atom": 12.83,
  "ef_ev_per_atom": 0.20,
  "spacegroup": "Cmm2 (35)",
  "e_tot_ev_per_cell": -27.4,
  "magnetic_moment_mub_per_atom": 0.000,
  "density_g_cm3": 8.96,
  "polymorph_energy_kj_per_mol_atoms": 0.8,
  "dos_ef_per_ev_atom": 0.72,
  "cell": [[-0.3991, -1.1501, 2.2384], [1.1571, -1.6263, -1.5839], [7.4605, 2.6745, 2.7042]],
  "species": ["Cr", "Cu", "Cu", "Tc"],
  "frac_coords": [[0.5000, 0.5000, 0.7521], [0.0000, 0.0000, 0.9990], [0.5000, 0.5000, 0.2415], [0.0000, 0.0000, 0.5074]]
}

{
  "formula": "CrCu2Tc",
  "functional": "PBE-GGA",
  "state": "relaxed",
  "vol_a3_per_atom": 12.77,
  "ef_ev_per_atom": 0.25,
  "spacegroup": "Pmm2 (25)",
  "e_tot_ev_per_cell": -27.2,
  "magnetic_moment_mub_per_atom": 0.220,
  "density_g_cm3": 9.01,
  "polymorph_energy_kj_per_mol_atoms": 5.0,
  "dos_ef_per_ev_atom": 0.88,
  "cell": [[2.5636, 0.0000, 0.0000], [0.0000, 3.7657, 0.0000], [0.0000, 0.0000, 5.2910]],
  "species": ["Cr", "Cu", "Cu", "Tc"],
  "frac_coords": [[0.5000, 0.5000, 0.7441], [0.0000, 0.0000, 0.0101], [0.5000, 0.5000, 0.2342], [0.0000, 0.0000, 0.5117]]
}

{
  "formula": "CrCu2Tc",
  "functional": "PBE-GGA",
  "state": "relaxed",
  "vol_a3_per_atom": 12.68,
  "ef_ev_per_atom": 0.29,
  "spacegroup": "C2/m (12)",
  "e_tot_ev_per_cell": -27.0,
  "magnetic_moment_mub_per_atom": 0.003,
  "density_g_cm3": 9.07,
  "polymorph_energy_kj_per_mol_atoms": 9.1,
  "dos_ef_per_ev_atom": 1.00,
  "cell": [[-3.3968, -2.7803, 1.6378], [-2.9614, -3.5479, -0.7703], [2.5056, -3.3452, 1.5193]],
  "species": ["Cr", "Cu", "Cu", "Tc"],
  "frac_coords": [[0.2500, 0.2500, 0.2500], [0.9985, 0.9985, 0.0042], [0.5015, 0.5015, 0.4958], [0.7500, 0.7500, 0.7500]]
}

{
  "formula": "CrCu2Tc",
  "functional": "PBE-GGA",
  "state": "relaxed",
  "vol_a3_per_atom": 12.69,
  "ef_ev_per_atom": 0.25,
  "spacegroup": "Cm (8)",
  "e_tot_ev_per_cell": -27.2,
  "magnetic_moment_mub_per_atom": 0.000,
  "density_g_cm3": 9.06,
  "polymorph_energy_kj_per_mol_atoms": 4.9,
  "dos_ef_per_ev_atom": 0.76,
  "cell": [[-2.8603, -1.1906, -3.2626], [-4.0365, -1.6311, -1.1357], [-2.1321, 4.2607, -0.2967]],
  "species": ["Cr", "Cu", "Cu", "Tc"],
  "frac_coords": [[0.2566, 0.2566, 0.2602], [0.0006, 0.0006, 0.9856], [0.7481, 0.7481, 0.7698], [0.4947, 0.4947, 0.4844]]
}

{
  "formula": "Cr3CuTc",
  "functional": "PBE-GGA",
  "state": "relaxed",
  "vol_a3_per_atom": 14.92,
  "ef_ev_per_atom": 1.76,
  "spacegroup": "Pm-3m (221)",
  "e_tot_ev_per_cell": -34.5,
  "magnetic_moment_mub_per_atom": 0.000,
  "density_g_cm3": 7.07,
  "polymorph_energy_kj_per_mol_atoms": 32.5,
  "dos_ef_per_ev_atom": 2.68,
  "cell": [[-2.4271, 3.1236, -1.4401], [-2.2767, -0.1378, 3.5383], [2.5783, 2.8188, 1.7688]],
  "species": ["Cr", "Cr", "Cr", "Tc", "Cu"],
  "frac_coords": [[0.0000, 0.5000, 0.0000], [0.0000, 0.0000, 0.5000], [0.5000, 0.0000, 0.0000], [0.5000, 0.5000, 0.5000], [0.0000, 0.0000, 0.0000]]
}

{
  "formula": "V2CrCuTc",
  "functional": "PBE-GGA",
  "state": "relaxed",
  "vol_a3_per_atom": 15.71,
  "ef_ev_per_atom": 1.50,
  "spacegroup": "P4/mmm (123)",
  "e_tot_ev_per_cell": -34.8,
  "magnetic_moment_mub_per_atom": 0.001,
  "density_g_cm3": 6.67,
  "dos_ef_per_ev_atom": 2.27,
  "cell": [[-1.2978, -4.0027, -1.0075], [3.9941, -1.1552, -0.5554], [0.2525, -1.1311, 4.1686]],
  "species": ["Cr", "Tc", "Cu", "V", "V"],
  "frac_coords": [[0.0000, 0.5000, 0.0000], [0.5000, 0.5000, 0.5000], [0.0000, 0.0000, 0.0000], [0.0000, 0.0000, 0.5000], [0.5000, 0.0000, 0.0000]]
}

{
  "formula": "VCrCuTc",
  "functional": "PBE-GGA",
  "state": "relaxed",
  "vol_a3_per_atom": 13.18,
  "ef_ev_per_atom": 0.15,
  "spacegroup": "F-43m (216)",
  "e_tot_ev_per_cell": -32.6,
  "magnetic_moment_mub_per_atom": 0.312,
  "density_g_cm3": 8.33,
  "dos_ef_per_ev_atom": 1.30,
  "cell": [[4.2086, 0.0000, 0.0000], [2.1043, 3.6448, 0.0000], [2.1043, 1.2149, 3.4363]],
  "species": ["Cr", "Tc", "Cu", "V"],
  "frac_coords": [[0.5000, 0.5000, 0.5000], [0.7500, 0.7500, 0.7500], [0.2500, 0.2500, 0.2500], [0.0000, 0.0000, 0.0000]]
}